[1]
Here is a geometry-optimized Mn2PBr structure from the Alexandria database. Energies are from GGA-PBE.

abc: 7.136 7.136 7.136
angles: 153.59 153.04 38.10
Atoms (fractional coordinates):
Mn (0.669, 0.169, 0.500)
Mn (0.011, 0.011, 0.000)
P (0.542, 0.542, 0.000)
Br (0.278, 0.778, 0.500)

## Properties
* formation energy (no corrections): -0.102 eV per atom
* polymorph energy (0 for the lowest one): 6.9 kJ per mole of atoms

[2]
Here is a geometry-optimized SrErInHg structure from the Alexandria database. Energies are from GGA-PBE.

abc: 5.475 5.475 5.475
angles: 60.00 60.00 60.00
Atoms (fractional coordinates):
Hg (0.500, 0.500, 0.500)
Er (0.250, 0.250, 0.250)
In (0.000, 0.000, 0.000)
Sr (0.750, 0.750, 0.750)

## Properties
* DFT formation energy: -0.41 eV per atom

[3]
Here is a geometry-optimized Sr2CoN structure from the Alexandria database. Energies are from GGA-PBE.

abc: 7.449 7.449 6.601
angles: 55.65 55.65 90.00
Atoms (fractional coordinates):
Sr (0.375, 0.458, 0.750)
Sr (0.208, 0.625, 0.250)
Sr (0.875, 0.792, 0.750)
Sr (0.542, 0.125, 0.250)
Co (0.000, 0.000, 0.000)
Co (0.750, 0.250, 0.500)
N (0.500, 0.500, 0.000)
N (0.250, 0.750, 0.500)

## Properties
* formation energy (no corrections): 0.377 eV per atom

V for the records above, in order: 73; 116; 110 Å³/f.u.
Mass density for the records above, in order: 5.01; 8.16; 3.73 Mg/m³